Entry from Alexandria: a relaxed Cr2CoS4 crystal (PBE).

Structure (POSCAR):
```
Cr2CoS4
1.0
2.178 -0.559 6.537
-4.396 -1.994 4.950
0.661 -6.240 2.902
Cr Co S
4 2 8
Cartesian
-0.973 -5.496 8.993
1.225 -4.499 6.518
-2.062 -5.216 5.724
-1.303 -2.376 7.542
-0.389 -2.198 3.597
0.000 0.000 0.000
-0.278 -6.321 6.863
-2.390 -7.375 9.392
-1.352 -7.642 12.505
0.741 -6.692 10.148
-0.593 -3.350 5.481
-2.686 -4.299 7.838
-1.667 -4.670 11.123
0.445 -3.616 8.595
```

Computed properties:
As for the energy relative to the elements, uncorrected: -0.60 eV per atom. Its total energy is -94.2 eV/cell.